one.
Compound: TaNiAu
Source: Alexandria
Functional: GGA-PBEsol
Structure: relaxed

Results
- Magnetic moment: 0.00 μB per cell
- Space-group type: F-43m (216)
- DOS(E_F): 5.14 states/eV/cell

extended XYZ file:
```
3
Lattice="0.0000 2.9124 2.9124 2.9124 0.0000 2.9124 2.9124 2.9124 0.0000" Properties=species:S:1:pos:R:3 pbc="T T T"
Ta 0.0000 0.0000 0.0000
Ni 1.4562 1.4562 1.4562
Au 2.9124 2.9124 2.9124
```

***

two.
Compound: TaNiAu
Source: Alexandria
Functional: GGA-PBEsol
Structure: relaxed

Results
- Magnetic moment: 0.00 μB per cell
- Space-group type: I4mm (107)
- DOS(E_F): 1.65 states/eV/cell

extended XYZ file:
```
3
Lattice="-1.6313 1.6313 4.1787 1.6313 -1.6313 4.1787 1.6313 1.6313 -4.1787" Properties=species:S:1:pos:R:3 pbc="T T T"
Ta 0.0000 0.0000 0.0000
Ni 0.0000 0.0000 2.8864
Au 0.0000 0.0000 5.7012
```

***

three.
Compound: TaNiAu
Source: Alexandria
Functional: GGA-PBEsol
Structure: relaxed

Results
- Magnetic moment: 0.00 μB per cell
- Space-group type: Imm2 (44)
- DOS(E_F): 1.86 states/eV/cell

extended XYZ file:
```
3
Lattice="-1.4674 1.8128 4.1668 1.4674 -1.8128 4.1668 1.4674 1.8128 -4.1668" Properties=species:S:1:pos:R:3 pbc="T T T"
Ta 0.0000 0.0000 0.0000
Ni 0.0000 0.0000 2.8791
Au 0.0000 0.0000 5.6607
```

***

three (0.005 eV/atom below the next structure)

***

one.
Compound: Ni2WAu
Source: Alexandria
Functional: GGA-PBEsol
Structure: relaxed

Results
- Magnetic moment: 0.00 μB per cell
- Space-group type: R-3m (166)
- DOS(E_F): 4.19 states/eV/cell

extended XYZ file:
```
4
Lattice="1.3600 0.7852 8.4906 -1.3600 0.7852 8.4906 0.0000 -1.5704 8.4906" Properties=species:S:1:pos:R:3 pbc="T T T"
Ni 0.0000 0.0000 6.2883
Ni 0.0000 0.0000 19.1835
W 0.0000 0.0000 12.7359
Au 0.0000 0.0000 0.0000
```

***

two.
Compound: Ni2WAu
Source: Alexandria
Functional: GGA-PBEsol
Structure: relaxed

Results
- Magnetic moment: 0.00 μB per cell
- Space-group type: F-43m (216)
- DOS(E_F): 3.27 states/eV/cell

extended XYZ file:
```
4
Lattice="0.0000 2.9961 2.9961 2.9961 0.0000 2.9961 2.9961 2.9961 0.0000" Properties=species:S:1:pos:R:3 pbc="T T T"
Ni 0.0000 0.0000 0.0000
Ni 1.4980 1.4980 1.4980
W 2.9961 2.9961 2.9961
Au 4.4941 4.4941 4.4941
```

***

three.
Compound: Ni2WAu
Source: Alexandria
Functional: GGA-PBEsol
Structure: relaxed

Results
- Magnetic moment: 0.11 μB per cell
- Space-group type: R3m (160)
- DOS(E_F): 3.94 states/eV/cell

extended XYZ file:
```
4
Lattice="1.3558 0.7828 8.5466 -1.3558 0.7828 8.5466 0.0000 -1.5656 8.5466" Properties=species:S:1:pos:R:3 pbc="T T T"
Ni 0.0000 0.0000 0.0000
Ni 0.0000 0.0000 6.6371
W 0.0000 0.0000 13.1564
Au 0.0000 0.0000 19.2547
```

***

one (0.114 eV/atom below the next structure)